# 1
Below is CaZr2Re after structural relaxation, with properties calculated at the PBE-GGA level.

Cell: 6.297 9.982 2.890 Å, 90.00 111.78 90.00°
Space group C2/m (No. 12)
Unique sites:
Ca 0.000 0.000 0.000 (multiplicity 2)
Zr 0.250 0.250 0.500 (multiplicity 4)
Re 0.000 0.500 0.000 (multiplicity 2)

## Properties
The value obtained for the total energy is -7.43 eV per atom.

---

# 2
Below is CaZrRe after structural relaxation, with properties calculated at the PBE-GGA level.

Cell: 2.811 5.048 8.658 Å, 90.00 90.00 90.00°
Space group Imm2 (No. 44)
Unique sites:
Ca 0.000 0.000 0.000 (multiplicity 2)
Zr 0.000 0.000 0.666 (multiplicity 2)
Re 0.000 0.000 0.337 (multiplicity 2)

## Properties
The value obtained for the total energy is -7.12 eV per atom.

---

Quick rundown of E_form, same order as above: 0.457; 0.543 eV per atom
Quick rundown of V, same order as above: 84; 61 Å³/f.u.